VASP calculation (PBE+U) on a relaxed NaBiMoO5 crystal.

CIF file:
```
data_NaBiMoO5
_chemical_formula_sum 'Na2 Bi2 Mo2 O10'
_cell_length_a 6.210
_cell_length_b 6.210
_cell_length_c 8.217
_cell_angle_alpha 102.81
_cell_angle_beta 102.81
_cell_angle_gamma 105.46
_space_group_name_H-M_alt 'P 1'
_space_group_IT_number 1
loop_
_space_group_symop_operation_xyz
'x,y,z'
loop_
_atom_site_label
_atom_site_fract_x
_atom_site_fract_y
_atom_site_fract_z
Na1 0.184 0.816 0.750
Na2 0.816 0.184 0.250
Bi1 0.500 0.500 0.000
Bi2 0.500 0.500 0.500
Mo1 0.173 0.827 0.250
Mo2 0.827 0.173 0.750
O1 0.099 0.229 0.913
O2 0.159 0.596 0.351
O3 0.229 0.099 0.413
O4 0.404 0.841 0.149
O5 0.411 0.589 0.750
O6 0.589 0.411 0.250
O7 0.596 0.159 0.851
O8 0.771 0.901 0.587
O9 0.841 0.404 0.649
O10 0.901 0.771 0.087
```

Summary:
Volume (Å³ per cell): 284
Symmetry: C2/c
Magnetization (μB per formula unit): 0.00
Calculated total energy (eV/atom): -6.129